# 1
Material: Y2V2Ga
Method: DFT, GGA-PBE
State: optimized geometry

The electronic total energy is -67.58 eV for the cell shown. The density of states at the Fermi level comes out at 9.87 states/eV/cell. For the total moment, the calculation gives 3.032 μB per cell.

It has space group P4/mbm (No. 127), with a = 6.8726 Å, b = 6.8726 Å, c = 4.4425 Å, α = 90.00°, β = 90.00° and γ = 90.00°. Symmetry generates all atoms from Y at (0.1754, 0.3246, 0.0000), V at (0.1201, 0.6201, 0.5000) and Ga at (0.0000, 0.0000, 0.5000).

***

# 2
Material: YV3Ga
Method: DFT, GGA-PBE
State: optimized geometry

The electronic total energy is -32.65 eV for the cell shown. The density of states at the Fermi level comes out at 11.44 states/eV/cell. Its energy above the most stable polymorph in this dataset is 0 meV/atom. For the total moment, the calculation gives 7.537 μB per cell.

It has space group Pm-3m (No. 221), with a = 4.7358 Å, b = 4.7358 Å, c = 4.7358 Å, α = 90.00°, β = 90.00° and γ = 90.00°. Symmetry generates all atoms from Y at (0.0000, 0.0000, 0.0000), V at (0.0000, 0.5000, 0.5000) and Ga at (0.5000, 0.5000, 0.5000).